CaCuAs2: optimized geometry, GGA-PBE.

E_form   -0.18 eV per atom

```
CaCuAs2
1.0
-2.232 -0.842 -2.743
2.219 -2.709 -0.974
-3.081 -3.850 3.689
As Cu Ca
2 1 1
direct
0.000 0.000 0.955 As
0.500 0.500 0.232 As
0.500 0.500 0.839 Cu
0.000 0.000 0.474 Ca
```